Density functional theory data (PBE with a Hubbard U) for crystalline MnNi7O8 at its relaxed geometry.

a = 8.5228 Å, b = 8.5228 Å, c = 8.5228 Å
α = 90.00°, β = 90.00°, γ = 90.00°
With the nearest neighbours (Å) after each atom.
Space group Fm-3m (No. 225)
Symmetry-distinct sites (fractional):
Mn (0.0000, 0.0000, 0.0000) (multiplicity 4)  6 O 2.18
Ni (0.0000, 0.0000, 0.5000) (multiplicity 4)  6 O 2.08
Ni (0.0000, 0.2500, 0.2500) (multiplicity 24)  6 O 2.13
O (0.0000, 0.0000, 0.2555) (multiplicity 24)  5 Ni 2.08-2.13, 1 Mn 2.18
O (0.2500, 0.2500, 0.2500) (multiplicity 8)  6 Ni 2.13

Results
Calculated total energy: -5.186 eV/atom